Record 1
This record from Alexandria describes a geometry-optimized NaSr2Ag2 structure. The functional is GGA-PBEsol.

Summary:
calculated formation energy	-0.021	eV/atom
calculated total energy	-2.362	eV per atom
energy relative to the lowest polymorph listed for this composition	174	meV/atom

The structure in extended XYZ format:
```
5
Lattice="6.0633 0.0000 0.0000 -3.0317 5.4203 -0.0301 0.0000 3.4191 5.0073" Properties=species:S:1:pos:R:3 pbc="T T T"
Ag 0.0000 6.0410 3.2170
Ag 3.0317 2.7984 1.7602
Na 0.0000 0.0000 0.0000
Sr 0.0000 3.5649 1.2368
Sr 3.0317 5.2745 3.7405
```

Record 2
This record from Alexandria describes a geometry-optimized Li3GeH structure. The functional is GGA-PBEsol.

Summary:
calculated total energy	-3.110	eV per atom
energy relative to the lowest polymorph listed for this composition	0	meV/atom

The structure in extended XYZ format:
```
5
Lattice="-3.5129 1.6828 0.2242 -1.2025 -2.1027 -3.0586 -1.1983 -2.8230 2.4119" Properties=species:S:1:pos:R:3 pbc="T T T"
Ge -2.9569 -1.6214 -0.2112
Li -0.6013 -1.0514 -1.5293
Li -0.5992 -1.4115 1.2059
Li -1.7564 0.8414 0.1121
H 0.0000 0.0000 0.0000
```

Record 3
This record from Alexandria describes a geometry-optimized KTiCl3 structure. The functional is GGA-PBEsol.

Summary:
calculated total energy	-4.753	eV per atom

The structure in extended XYZ format:
```
30
Lattice="-2.1645 4.2125 2.6588 -11.1893 -5.0558 -1.0990 6.9999 -2.5950 9.8101" Properties=species:S:1:pos:R:3 pbc="T T T"
Cl -4.5073 -5.0647 7.9260
Cl -7.5998 -3.8592 3.5493
Cl 1.6936 -2.2481 8.5618
Cl -2.2557 0.2661 6.9115
Cl -4.1553 -3.1679 10.7549
Cl -10.4517 -3.9094 1.2563
Cl 0.6079 -0.7915 5.3702
Cl -5.0742 0.2868 4.5835
Cl -2.5098 0.3350 0.9971
Cl -2.1578 2.2318 3.8260
Cl -1.2154 -1.1327 9.9746
Cl -1.6105 -3.0816 7.1925
Cl -4.4292 -3.0604 4.8649
Cl -7.2926 -2.0032 6.4058
Cl 3.7867 1.0765 10.4957
Cl -8.3782 -0.5467 3.2143
Cl 0.9149 1.0649 8.2271
Cl -5.4695 -1.6616 1.8017
K -7.2042 -5.4183 6.3089
K 0.5320 2.5992 5.4518
K 1.5002 -0.7983 11.6229
K -4.5693 -1.6398 8.0150
K -8.1724 -2.0208 0.1378
K -2.1029 -1.1793 3.7456
Ti 0.7330 -3.0186 6.4241
Ti -6.4124 -1.7326 4.1171
Ti -1.2378 2.4090 1.5205
Ti -5.2533 -3.9882 2.6935
Ti -0.2725 -1.0617 7.6592
Ti -0.1555 0.3027 0.1911
```